Compound: MnCuAu2
Source: Alexandria via LeMat-Bulk
Functional: PBE-GGA
Structure: relaxed

```
MnCuAu2
1.0
9.352 0.000 0.000
0.000 3.014 0.000
-1.123 0.000 4.499
Mn Cu Au
2 2 4
direct
0.000 0.000 0.000 Mn
0.500 0.500 0.000 Mn
0.262 0.000 0.730 Cu
0.762 0.500 0.730 Cu
0.013 0.500 0.518 Au
0.249 0.500 0.213 Au
0.513 0.000 0.518 Au
0.749 0.000 0.213 Au
```

Calculated values
SG: No. 8
E_form: 0.00 eV per atom

---

Compound: MnCu3Au4
Source: Alexandria via LeMat-Bulk
Functional: PBE-GGA
Structure: relaxed

```
MnCu3Au4
1.0
22.697 0.000 0.000
0.000 2.859 0.000
-0.350 0.000 4.168
Mn Cu Au
2 6 8
direct
0.000 0.000 0.000 Mn
0.500 0.500 0.000 Mn
0.000 0.500 0.500 Cu
0.168 0.500 0.716 Cu
0.332 0.000 0.284 Cu
0.500 0.000 0.500 Cu
0.668 0.000 0.716 Cu
0.832 0.500 0.284 Cu
0.096 0.500 0.179 Au
0.212 0.000 0.235 Au
0.288 0.500 0.765 Au
0.404 0.000 0.821 Au
0.596 0.000 0.179 Au
0.712 0.500 0.235 Au
0.788 0.000 0.765 Au
0.904 0.500 0.821 Au
```

Calculated values
E above lowest polymorph: 0.198 eV per atom
SG: No. 12
E_form: 0.15 eV per atom